# 1
! TmGa2CuNi2 (PBE-GGA, relaxed); values from VASP
! - energy relative to the elements (eV per formula unit) = 0.044
! - symmetry = No. 123
&SYSTEM
  ibrav = 0, nat = 6, ntyp = 4
/
ATOMIC_SPECIES
Tm 168.93 Tm.upf
Ga 69.72 Ga.upf
Cu 63.55 Cu.upf
Ni 58.69 Ni.upf
ATOMIC_POSITIONS angstrom
Tm 0.0000 0.0000 0.0000
Ga 0.0000 2.2125 2.6110
Ga 2.2125 0.0000 2.6110
Cu 0.0000 0.0000 2.6110
Ni 2.2125 2.2125 1.2407
Ni 2.2125 2.2125 3.9814
CELL_PARAMETERS angstrom
4.4250 0.0000 0.0000
0.0000 4.4250 0.0000
0.0000 0.0000 5.2221



# 2
! Tm2Ga4CuNi3 (PBE-GGA, relaxed); values from VASP
! - energy relative to the elements (eV per formula unit) = -5.300
! - symmetry = No. 115
&SYSTEM
  ibrav = 0, nat = 10, ntyp = 4
/
ATOMIC_SPECIES
Tm 168.93 Tm.upf
Ga 69.72 Ga.upf
Cu 63.55 Cu.upf
Ni 58.69 Ni.upf
ATOMIC_POSITIONS angstrom
Tm 0.0000 1.9684 2.5299
Tm 1.9684 0.0000 7.9607
Ga 0.0000 0.0000 0.0000
Ga 0.0000 1.9684 6.6761
Ga 1.9684 0.0000 3.8145
Ga 1.9684 1.9684 0.0000
Cu 0.0000 0.0000 5.2453
Ni 0.0000 1.9684 9.0404
Ni 1.9684 0.0000 1.4502
Ni 1.9684 1.9684 5.2453
CELL_PARAMETERS angstrom
3.9369 0.0000 0.0000
0.0000 3.9369 0.0000
0.0000 0.0000 10.4906



# 3
! TmGa2CuNi5 (PBE-GGA, relaxed); values from VASP
! - energy relative to the elements (eV per formula unit) = -0.984
! - symmetry = No. 123
&SYSTEM
  ibrav = 0, nat = 9, ntyp = 4
/
ATOMIC_SPECIES
Tm 168.93 Tm.upf
Ga 69.72 Ga.upf
Cu 63.55 Cu.upf
Ni 58.69 Ni.upf
ATOMIC_POSITIONS angstrom
Tm 0.0000 0.0000 0.0000
Ga 1.8486 1.8486 3.4632
Ga 1.8486 1.8486 5.8942
Cu 0.0000 0.0000 4.6787
Ni 0.0000 1.8486 2.0018
Ni 0.0000 1.8486 7.3555
Ni 1.8486 0.0000 2.0018
Ni 1.8486 0.0000 7.3555
Ni 1.8486 1.8486 0.0000
CELL_PARAMETERS angstrom
3.6972 0.0000 0.0000
0.0000 3.6972 0.0000
0.0000 0.0000 9.3574



# 4
! TmGa4CuNi2 (PBE-GGA, relaxed); values from VASP
! - energy relative to the elements (eV per formula unit) = -3.037
! - symmetry = No. 166
&SYSTEM
  ibrav = 0, nat = 8, ntyp = 4
/
ATOMIC_SPECIES
Tm 168.93 Tm.upf
Ga 69.72 Ga.upf
Cu 63.55 Cu.upf
Ni 58.69 Ni.upf
ATOMIC_POSITIONS angstrom
Tm 0.0000 0.0000 0.0000
Ga 0.0000 0.0000 3.2674
Ga 0.0000 0.0000 10.1633
Ga 0.0000 0.0000 15.2490
Ga 0.0000 0.0000 22.1449
Cu 0.0000 0.0000 12.7062
Ni 0.0000 0.0000 6.0035
Ni 0.0000 0.0000 19.4089
CELL_PARAMETERS angstrom
2.0526 1.1851 8.4708
-2.0526 1.1851 8.4708
0.0000 -2.3702 8.4708



# 5
! Tm2Ga2CuNi5 (PBE-GGA, relaxed); values from VASP
! - energy relative to the elements (eV per formula unit) = -3.041
! - symmetry = No. 127
&SYSTEM
  ibrav = 0, nat = 20, ntyp = 4
/
ATOMIC_SPECIES
Tm 168.93 Tm.upf
Ga 69.72 Ga.upf
Cu 63.55 Cu.upf
Ni 58.69 Ni.upf
ATOMIC_POSITIONS angstrom
Tm 1.6443 3.0518 0.0000
Tm 3.0518 7.7479 0.0000
Tm 6.3405 1.6443 0.0000
Tm 7.7479 6.3405 0.0000
Ga 1.1628 5.8589 0.0000
Ga 3.5334 1.1628 0.0000
Ga 5.8589 8.2295 0.0000
Ga 8.2295 3.5334 0.0000
Cu 0.0000 0.0000 0.0000
Cu 4.6961 4.6961 0.0000
Ni 0.0000 4.6961 1.6915
Ni 0.5246 7.5460 1.6915
Ni 1.8463 0.5246 1.6915
Ni 2.8498 5.2207 1.6915
Ni 4.1716 2.8498 1.6915
Ni 4.6961 0.0000 1.6915
Ni 5.2207 6.5424 1.6915
Ni 6.5424 4.1716 1.6915
Ni 7.5460 8.8677 1.6915
Ni 8.8677 1.8463 1.6915
CELL_PARAMETERS angstrom
9.3922 0.0000 0.0000
0.0000 9.3922 0.0000
0.0000 0.0000 3.3830



# 6
! TmGa4Cu2Ni (PBE-GGA, relaxed); values from VASP
! - energy relative to the elements (eV per formula unit) = -2.564
! - symmetry = No. 166
&SYSTEM
  ibrav = 0, nat = 8, ntyp = 4
/
ATOMIC_SPECIES
Tm 168.93 Tm.upf
Ga 69.72 Ga.upf
Cu 63.55 Cu.upf
Ni 58.69 Ni.upf
ATOMIC_POSITIONS angstrom
Tm 0.0000 0.0000 0.0000
Ga 0.0000 0.0000 3.3739
Ga 0.0000 0.0000 10.2964
Ga 0.0000 0.0000 15.3990
Ga 0.0000 0.0000 22.3214
Cu 0.0000 0.0000 6.1435
Cu 0.0000 0.0000 19.5518
Ni 0.0000 0.0000 12.8477
CELL_PARAMETERS angstrom
2.0647 1.1921 8.5651
-2.0647 1.1921 8.5651
0.0000 -2.3841 8.5651



Look up the energy relative to the elements of the first one. 0.044 eV per formula unit



energy relative to the elements of number 6 (TmGa4Cu2Ni)? -2.564 eV per formula unit



Among the records above, which one has the highest energy relative to the elements? TmGa2CuNi2